[1]
## Na6Cd3Pb (PBE-GGA)

Data for an optimized crystal structure of Na6Cd3Pb.

Structure (POSCAR):
```
Na6Cd3Pb
1.0
7.8834 0.0000 0.0000
0.0000 9.2103 -1.5362
0.0000 -3.5527 8.6352
Pb Na Cd
2 12 6
Cartesian
4.8287 6.9780 0.2429
0.8870 -1.3204 6.8562
1.5610 5.8564 1.1367
6.3134 -3.0698 8.2504
2.5881 1.5972 6.7871
2.5881 -0.6020 4.0276
2.3717 8.7274 -1.1513
5.0933 3.4063 5.2338
1.1516 4.3417 4.4883
5.0933 1.3159 2.6107
6.5298 4.0603 0.3120
1.1516 2.2513 1.8653
6.5298 6.2595 3.0715
5.5027 -0.1989 5.9624
3.9220 4.3617 2.3279
7.8637 1.2958 4.7712
7.5986 -0.6681 2.4999
3.6569 2.5859 -0.0934
7.5986 3.0717 7.1924
3.6569 6.3256 4.5992
```

Output
Fermi-level density of states, states/eV/f.u.: 3.6
Polymorph energy (0 for the lowest one), meV per atom: 0
Magnetic moment, Bohr magnetons per cell: 0.000
SG: Cmc2_1 (36)
ρ, g/cm³: 3.9
Formation enthalpy at 0 K, eV per atom: -0.066
V, Å³ per atom: 29.20

[2]
## Na3CdPb2 (PBE-GGA)

Data for an optimized crystal structure of Na3CdPb2.

Structure (POSCAR):
```
Na3CdPb2
1.0
-1.5557 -3.4669 3.9247
5.2173 -0.5695 1.5161
-2.9604 10.5127 4.3417
Na Pb Cd
6 4 2
Cartesian
-3.1181 6.1838 8.0501
2.8517 -0.0358 4.8634
0.6469 4.8233 4.5069
-2.1505 6.5121 4.9191
0.0543 1.6530 5.2756
3.8194 0.2925 1.7324
-2.7531 3.4390 5.7655
0.4211 -1.0938 2.9935
0.2801 7.5701 6.7889
3.4543 3.0373 4.0170
1.0221 1.9811 2.1447
-0.3208 4.4952 7.6378
```

Output
Fermi-level density of states, states/eV/f.u.: 2.7
Magnetic moment, Bohr magnetons per cell: 0.000
SG: Fddd (70)
ρ, g/cm³: 6.0
Formation enthalpy at 0 K, eV per atom: -0.129
V, Å³ per atom: 27.61

[3]
## Na6Cd2Pb (PBE-GGA)

Data for an optimized crystal structure of Na6Cd2Pb.

Structure (POSCAR):
```
Na6Cd2Pb
1.0
-0.3771 -4.9102 2.7066
7.1913 0.2216 4.1801
2.0176 2.5387 7.6630
Na Cd Pb
6 2 1
Cartesian
6.6965 -1.5601 7.8459
4.6912 -1.7345 4.9831
7.2802 2.1520 9.3828
4.1406 -0.4154 9.5666
1.5516 -4.3020 5.1669
2.1353 -0.5898 6.7038
5.3477 1.2264 7.1279
3.4841 -3.3763 7.4218
0.0000 0.0000 0.0000
```

Output
Fermi-level density of states, states/eV/f.u.: 4.6
Polymorph energy (0 for the lowest one), meV per atom: 34
Magnetic moment, Bohr magnetons per cell: 0.000
SG: C2/m (12)
ρ, g/cm³: 3.4
Formation enthalpy at 0 K, eV per atom: -0.036
V, Å³ per atom: 31.19

[4]
## NaCd6Pb2 (PBE-GGA)

Data for an optimized crystal structure of NaCd6Pb2.

Structure (POSCAR):
```
NaCd6Pb2
1.0
3.5249 -0.0005 0.0004
-0.0011 7.6186 4.3809
-0.0026 0.0153 8.7884
Cd Na Pb
6 1 2
Cartesian
1.7650 7.6234 7.2874
1.7573 5.0989 2.9324
1.7640 2.5345 10.2373
1.7609 5.1036 5.8389
1.7604 2.5298 7.3308
1.7563 0.0100 5.8823
0.0000 0.0000 0.0000
3.5223 5.0890 8.7803
-0.0011 2.5444 4.3894
```

Output
Fermi-level density of states, states/eV/f.u.: 3.4
Magnetic moment, Bohr magnetons per cell: 0.000
SG: P6/mmm (191)
ρ, g/cm³: 7.8
Formation enthalpy at 0 K, eV per atom: -0.012
V, Å³ per atom: 26.20

[5]
## NaCd3Pb2 (PBE-GGA)

Data for an optimized crystal structure of NaCd3Pb2.

Structure (POSCAR):
```
NaCd3Pb2
1.0
7.5826 -0.1627 0.4565
-1.0712 7.5083 0.4565
-0.3357 -0.3787 5.8359
Cd Pb Na
6 4 2
Cartesian
1.8902 2.1677 3.1778
4.2855 4.7993 3.5711
1.7574 1.9473 6.0957
4.6739 2.2466 1.9155
4.4183 5.0197 0.6532
1.5018 4.7204 4.8334
1.9617 6.8595 2.0783
6.4068 2.5812 4.9962
4.2140 0.1074 4.6706
-0.2311 4.3858 1.7527
6.9456 0.2329 1.9155
-0.7699 6.7341 4.8334
```

Output
Fermi-level density of states, states/eV/f.u.: 2.1
Polymorph energy (0 for the lowest one), meV per atom: 33
Magnetic moment, Bohr magnetons per cell: 0.000
SG: C2/c (15)
ρ, g/cm³: 7.7
Formation enthalpy at 0 K, eV per atom: -0.001
V, Å³ per atom: 27.83

[6]
## Na8Cd3Pb (PBE-GGA)

Data for an optimized crystal structure of Na8Cd3Pb.

Structure (POSCAR):
```
Na8Cd3Pb
1.0
5.4129 0.0000 0.5793
-3.3395 5.2526 5.5780
-1.2662 0.0000 11.7353
Na Pb Cd
8 1 3
Cartesian
1.1266 0.0000 2.1746
0.0987 2.6000 11.8475
3.6227 0.0000 4.3582
0.5237 2.6080 7.8906
-1.9746 2.6526 5.6903
3.2007 0.0000 8.3510
-2.8158 2.6445 13.4686
0.2862 0.0000 9.9937
2.8005 0.0000 12.0820
0.9269 2.6095 4.1659
-2.4127 2.6430 9.7439
0.7271 0.0000 5.8556
```

Output
Fermi-level density of states, states/eV/f.u.: 5.2
Magnetic moment, Bohr magnetons per cell: 0.000
SG: Cm (8)
ρ, g/cm³: 3.6
Formation enthalpy at 0 K, eV per atom: -0.083
V, Å³ per atom: 28.13

[7]
## Na6CdPb2 (PBE-GGA)

Data for an optimized crystal structure of Na6CdPb2.

Structure (POSCAR):
```
Na6CdPb2
1.0
-1.8055 5.2150 -0.7800
-5.3842 0.9528 -1.0803
-4.2911 2.9272 9.5907
Na Cd Pb
6 1 2
Cartesian
-8.2911 6.6743 4.0760
-6.1902 4.7543 6.2897
-2.5991 2.1491 0.4715
-8.8816 6.9459 7.2589
-5.2905 4.3406 1.4407
-3.1897 2.4207 3.6544
0.0000 0.0000 0.0000
-3.7719 2.6884 6.7927
-7.7088 6.4065 0.9378
```

Output
Fermi-level density of states, states/eV/f.u.: 4.1
Polymorph energy (0 for the lowest one), meV per atom: 0
Magnetic moment, Bohr magnetons per cell: 0.000
SG: R-3m (166)
ρ, g/cm³: 3.9
Formation enthalpy at 0 K, eV per atom: -0.124
V, Å³ per atom: 31.15

[8]
## Na3CdPb3 (PBE-GGA)

Data for an optimized crystal structure of Na3CdPb3.

Structure (POSCAR):
```
Na3CdPb3
1.0
-7.2048 -0.1173 -2.9416
-4.0053 -5.7533 3.3812
-4.8969 3.0686 5.2134
Na Pb Cd
6 6 2
Cartesian
-6.1563 -5.0209 2.2260
-5.9710 0.7960 5.6372
-8.1884 0.6907 -0.7330
-7.9185 -3.4927 6.3860
-9.9506 2.2189 3.4270
-10.1359 -3.5980 0.0158
-7.0297 0.7735 2.4190
-10.1092 -0.7021 1.7181
-8.9927 -0.6244 4.9378
-5.9978 -2.0999 3.9349
-9.0773 -3.5755 3.2340
-7.1143 -2.1776 0.7152
-12.0119 -2.0896 4.2158
-4.0950 -0.7124 1.4372
```

Output
Fermi-level density of states, states/eV/f.u.: 3.6
Magnetic moment, Bohr magnetons per cell: 0.000
SG: R-3 (148)
ρ, g/cm³: 6.5
Formation enthalpy at 0 K, eV per atom: -0.084
V, Å³ per atom: 29.24